First-principles (PBE-GGA) data for crystalline AcPr4Pb5 at its relaxed geometry, as listed in Alexandria via LeMat-Bulk.

Cell lengths 4.239, 4.239, 17.819 Å; angles 90.00, 90.00, 90.00 degrees
Last column: magnetic moment on the atom in μB.
Element x y z (fractional)
Ac 0.000 0.000 0.000  0.01
Pr 0.000 0.000 0.208  0.05
Pr 0.000 0.000 0.402  0.08
Pr 0.000 0.000 0.598  0.08
Pr 0.000 0.000 0.792  0.05
Pb 0.500 0.500 0.113  0.00
Pb 0.500 0.500 0.304  0.00
Pb 0.500 0.500 0.500  0.00
Pb 0.500 0.500 0.696  0.00
Pb 0.500 0.500 0.887  0.00

**Symmetry**: P4/mmm
**Calculated formation energy**: -11.42 kcal/mol of atoms


First-principles (PBE-GGA) data for crystalline LiPrAgSn2 at its relaxed geometry, as listed in Alexandria via LeMat-Bulk.

Cell lengths 4.449, 4.449, 6.839 Å; angles 108.98, 108.98, 90.00 degrees
Element x y z (fractional)
Li 0.750 0.250 0.500
Pr 0.000 0.000 0.000
Ag 0.250 0.750 0.500
Sn 0.616 0.616 0.231
Sn 0.384 0.384 0.769

**Symmetry**: I-4m2
**Calculated formation energy**: -11.46 kcal/mol of atoms


First-principles (PBE-GGA) data for crystalline BaTaBr2 at its relaxed geometry, as listed in Alexandria via LeMat-Bulk.

Cell lengths 5.580, 5.580, 5.580 Å; angles 60.00, 60.00, 60.00 degrees
Last column: magnetic moment on the atom in μB.
Element x y z (fractional)
Ba 0.000 0.000 0.000  0.14
Br 0.250 0.250 0.250  0.07
Br 0.750 0.750 0.750  0.07
Ta 0.500 0.500 0.500  2.48

**Energy relative to the elements, uncorrected**: 13 kJ per mole of atoms
**Symmetry**: Fm-3m
**E above lowest polymorph**: 357.9 meV/atom


E_tot in eV per atom, matching the order above: -4.672, -4.007, -4.149